[1]
Density functional theory data (PBEsol) for an optimized crystal structure of SbAs2Se.

Properties
For the total energy, the calculation gives -4.609 eV/atom. The formation energy (no corrections) comes out at 0.046 eV per atom.

a = 3.9929 Å, b = 3.9929 Å, c = 6.8564 Å
α = 73.07°, β = 73.07°, γ = 60.00°
Closest atoms and distances in Å follow each position.
Sites, in units of the cell vectors:
As1 0.7483 0.7483 0.7551  3 Se 2.80, 3 Sb 2.83
As2 0.2517 0.2517 0.2449  3 Se 2.80, 3 Sb 2.83
Sb1 0.5000 0.5000 0.5000  6 As 2.83
Se1 0.0000 0.0000 0.0000  6 As 2.80



[2]
Density functional theory data (PBEsol) for an optimized crystal structure of BiHS2Cl.

Properties
For the total energy, the calculation gives -2.962 eV/atom.

a = 5.1673 Å, b = 5.1673 Å, c = 5.3841 Å
α = 90.00°, β = 90.00°, γ = 90.00°
Closest atoms and distances in Å follow each position.
Sites, in units of the cell vectors:
H1 0.5000 0.5000 0.5000  4 Cl 3.65, 8 S 3.73
Bi1 0.0000 0.0000 0.0000  4 S 2.58, 2 Cl 2.69
Cl1 0.0000 0.0000 0.5000  2 Bi 2.69
S1 0.0000 0.5000 0.0000  2 Bi 2.58
S2 0.5000 0.0000 0.0000  2 Bi 2.58